[1]
Computed, not measured: a relaxed structure of Pm9Ho4Tl11 at the GGA-PBE level of DFT.

Cell: 17.895 21.556 3.599 Å, 90.00 90.00 90.00°
Space group Cmmm (No. 65)
Asymmetric unit:
Pm 0.000 0.000 0.000 [2 per cell]
Pm 0.117 0.241 0.000 [8 per cell]
Pm 0.120 0.413 0.000 [8 per cell]
Ho 0.152 0.084 0.000 [8 per cell]
Tl 0.000 0.135 0.500 [4 per cell]
Tl 0.000 0.329 0.500 [4 per cell]
Tl 0.000 0.500 0.500 [2 per cell]
Tl 0.238 0.500 0.500 [4 per cell]
Tl 0.243 0.326 0.500 [8 per cell]

Results
Formation energy, eV per formula unit: -7.064
Magnetization, μB/f.u.: 0.03
D(E_F), states/eV per cell: 49.57
Uncorrected energy, eV/atom: -3.9233


[2]
Computed, not measured: a relaxed structure of Rb2NaIn9 at the GGA-PBE level of DFT.

Cell: 6.4413 6.4413 31.8460 Å, 90.00 90.00 120.00°
Space group R-3m (No. 166, hexagonal axes)
Asymmetric unit:
Rb 0.0000 0.0000 0.1435 [6 per cell]
Na 0.0000 0.0000 0.0000 [3 per cell]
In 0.0000 0.0000 0.3346 [6 per cell]
In 0.0000 0.0000 0.5000 [3 per cell]
In 0.0037 0.5019 0.9188 [18 per cell]

Results
Formation energy, eV per formula unit: -0.555
Magnetization, μB/f.u.: 0.00
D(E_F), states/eV per cell: 18.76
Uncorrected energy, eV/atom: -2.3712


[3]
Computed, not measured: a relaxed structure of FeB3Mo at the GGA-PBE level of DFT.

Cell: 4.020 4.020 4.020 Å, 90.00 90.00 90.00°
Space group Pm-3m (No. 221)
Asymmetric unit:
Fe 0.000 0.000 0.000 [1 per cell]
B 0.000 0.500 0.500 [3 per cell]
Mo 0.500 0.500 0.500 [1 per cell]

Results
Formation energy, eV per formula unit: 8.858
Magnetization, μB/f.u.: 0.00
D(E_F), states/eV per cell: 11.68
Uncorrected energy, eV/atom: -6.0935


[4]
Computed, not measured: a relaxed structure of SrCd4In12 at the GGA-PBE level of DFT.

Cell: 10.050 10.050 10.050 Å, 90.00 90.00 90.00°
Space group Im-3 (No. 204)
Asymmetric unit:
Sr 0.000 0.000 0.000 [2 per cell]
Cd 0.250 0.250 0.250 [8 per cell]
In 0.000 0.354 0.152 [24 per cell]

Results
Formation energy, eV per formula unit: 0.935
Magnetization, μB/f.u.: 0.00
D(E_F), states/eV per cell: 14.23
Uncorrected energy, eV/atom: -2.1923


[5]
Computed, not measured: a relaxed structure of Sb2IrSI at the GGA-PBE level of DFT.

Cell: 5.077 5.077 5.278 Å, 90.00 90.00 90.00°
Space group P4/mmm (No. 123)
Asymmetric unit:
Sb 0.000 0.500 0.000 [2 per cell]
Ir 0.000 0.000 0.500 [1 per cell]
S 0.500 0.500 0.000 [1 per cell]
I 0.500 0.500 0.500 [1 per cell]

Results
Magnetization, μB/f.u.: 0.31
D(E_F), states/eV per cell: 3.61
Uncorrected formation energy, eV per atom: 1.31
Uncorrected energy, eV/atom: -3.2467


[6]
Computed, not measured: a relaxed structure of CuIrS2N at the GGA-PBE level of DFT.

Cell: 4.869 4.869 3.627 Å, 90.00 90.00 90.00°
Space group P4/mmm (No. 123)
Asymmetric unit:
Cu 0.000 0.000 0.000 [1 per cell]
Ir 0.500 0.500 0.500 [1 per cell]
S 0.000 0.500 0.500 [2 per cell]
N 0.500 0.500 0.000 [1 per cell]

Results
Magnetization, μB/f.u.: 0.00
D(E_F), states/eV per cell: 4.77
Uncorrected formation energy, eV per atom: 0.71
Uncorrected energy, eV/atom: -5.1978